Below is a crystal of AgPbAu relaxed with PBEsol, with properties calculated at the SCAN level.

Structure (POSCAR):
```
AgPbAu
1.0
-1.8257 1.9164 4.3828
1.8257 -1.9164 4.3828
1.8257 1.9164 -4.3828
Ag Pb Au
1 1 1
Cartesian
0.0000 0.0000 0.0000 Ag
0.0000 0.0000 2.8629 Pb
0.0000 0.0000 5.7806 Au
```

Output
Polymorph energy (0 for the lowest one) = 0.0472 eV per atom



Below is a crystal of Ag2PbAu relaxed with PBEsol, with properties calculated at the SCAN level.

Structure (POSCAR):
```
Ag2PbAu
1.0
3.3294 0.0000 0.0000
0.0000 3.3294 0.0000
0.0000 0.0000 7.0597
Ag Pb Au
2 1 1
Cartesian
0.0000 0.0000 1.5136 Ag
0.0000 0.0000 5.5461 Ag
1.6647 1.6647 3.5298 Pb
1.6647 1.6647 0.0000 Au
```



Below is a crystal of AgPb2Au relaxed with PBEsol, with properties calculated at the SCAN level.

Structure (POSCAR):
```
AgPb2Au
1.0
5.5407 -1.6601 0.0000
5.5407 1.6601 0.0000
-1.6969 0.0000 4.9115
Ag Pb Au
1 2 1
Cartesian
0.0000 0.0000 0.0000 Ag
1.2990 0.0000 4.0605 Pb
4.2524 0.0000 2.3143 Pb
7.2700 0.0000 1.4994 Au
```

Output
Polymorph energy (0 for the lowest one) = 0.0665 eV per atom



Below is a crystal of AgPb2Au relaxed with PBEsol, with properties calculated at the SCAN level.

Structure (POSCAR):
```
AgPb2Au
1.0
3.6015 -3.6089 0.0000
3.6015 3.6089 0.0000
0.0000 0.0000 3.4894
Ag Pb Au
1 2 1
Cartesian
0.0000 0.0000 0.0000 Ag
1.8007 1.8044 1.7447 Pb
1.8007 -1.8044 1.7447 Pb
3.6015 0.0000 0.0000 Au
```

Output
Polymorph energy (0 for the lowest one) = 0.0784 eV per atom



Below is a crystal of Ag2PbAu2 relaxed with PBEsol, with properties calculated at the SCAN level.

Structure (POSCAR):
```
Ag2PbAu2
1.0
7.8075 0.0000 0.0000
0.0000 7.8075 0.0000
0.0000 0.0000 3.1612
Ag Pb Au
4 2 4
Cartesian
1.2967 2.6070 0.0000 Ag
2.6070 6.5108 0.0000 Ag
5.2005 1.2967 0.0000 Ag
6.5108 5.2005 0.0000 Ag
0.0000 0.0000 1.5806 Pb
3.9038 3.9038 1.5806 Pb
1.0114 4.9152 1.5806 Au
2.8923 1.0114 1.5806 Au
4.9152 6.7961 1.5806 Au
6.7961 2.8923 1.5806 Au
```

Output
Polymorph energy (0 for the lowest one) = 0.0000 eV per atom



Below is a crystal of Ag2PbAu relaxed with PBEsol, with properties calculated at the SCAN level.

Structure (POSCAR):
```
Ag2PbAu
1.0
-2.2251 2.2251 3.8858
2.2251 -2.2251 3.8858
2.2251 2.2251 -3.8858
Ag Pb Au
2 1 1
Cartesian
0.0000 0.0000 0.0000 Ag
0.0000 2.2251 1.9429 Ag
0.0000 0.0000 3.8858 Pb
2.2251 0.0000 1.9429 Au
```



Below is a crystal of AgPb2Au2 relaxed with PBEsol, with properties calculated at the SCAN level.

Structure (POSCAR):
```
AgPb2Au2
1.0
7.3801 0.0000 0.0000
0.0000 7.3801 0.0000
0.0000 0.0000 4.0902
Ag Pb Au
2 4 4
Cartesian
0.0000 0.0000 0.0000 Ag
3.6900 3.6900 0.0000 Ag
1.2485 2.4415 2.0451 Pb
2.4415 6.1316 2.0451 Pb
4.9385 1.2485 2.0451 Pb
6.1316 4.9385 2.0451 Pb
1.0120 4.7021 0.0000 Au
2.6780 1.0120 0.0000 Au
4.7021 6.3680 0.0000 Au
6.3680 2.6780 0.0000 Au
```



Below is a crystal of Ag3PdAu relaxed with PBEsol, with properties calculated at the SCAN level.

Structure (POSCAR):
```
Ag3PdAu
1.0
4.9534 0.0000 0.0000
0.0000 4.9534 0.0000
0.0000 0.0000 4.9534
Ag Pd Au
3 1 1
Cartesian
0.0000 0.0000 2.4767 Ag
0.0000 2.4767 0.0000 Ag
2.4767 0.0000 0.0000 Ag
2.4767 2.4767 2.4767 Pd
0.0000 0.0000 0.0000 Au
```



| no. | E_tot (eV/cell) | M_tot (μB per atom) | energy of formation (kJ per mole of atoms) |
| --- | --- | --- | --- |
| 1 | -176.16 | 0.000 | 5 |
| 2 | -207.50 | 0.000 | 4 |
| 3 | -251.84 | 0.000 | 6 |
| 4 | -251.79 | 0.000 | 7 |
| 5 | -553.79 | 0.000 | -1 |
| 6 | -207.51 | 0.000 | 4 |
| 7 | -642.48 | 0.000 | 0 |
| 8 | -191.42 | 0.000 | 89 |